[1]
The following is a DFT calculation (PBEsol) of a relaxed structure of In2Ni2Pd.

```
In2Ni2Pd
1.0
3.319 0.000 0.000
0.000 3.319 0.000
0.000 0.000 14.554
In Ni Pd
4 4 2
direct
0.000 0.000 0.110
0.000 0.000 0.890
0.500 0.500 0.390
0.500 0.500 0.610
0.000 0.500 0.250
0.000 0.500 0.750
0.500 0.000 0.250
0.500 0.000 0.750
0.000 0.000 0.500
0.500 0.500 0.000
```

Properties
* energy of formation from the pure elements: -0.079 eV/atom
* electronic total energy: -0.1810 hartree per atom
* space group: I4/mmm, No. 139
* density of states at the Fermi level: 9.13 states/eV/cell



[2]
The following is a DFT calculation (PBEsol) of a relaxed structure of PrIn2Ni.

```
PrIn2Ni
1.0
4.367 0.000 0.000
0.000 10.617 0.000
0.000 0.000 7.345
Pr In Ni
4 8 4
direct
0.000 0.066 0.250
0.000 0.934 0.750
0.500 0.434 0.750
0.500 0.566 0.250
0.000 0.353 0.051
0.000 0.353 0.449
0.000 0.647 0.551
0.000 0.647 0.949
0.500 0.147 0.551
0.500 0.147 0.949
0.500 0.853 0.051
0.500 0.853 0.449
0.000 0.214 0.750
0.000 0.786 0.250
0.500 0.286 0.250
0.500 0.714 0.750
```

Properties
* energy of formation from the pure elements: -0.468 eV/atom
* electronic total energy: -0.1762 hartree per atom
* space group: Cmcm, No. 63
* density of states at the Fermi level: 12.08 states/eV/cell